Record 1
A plane-wave DFT calculation with PBE-GGA was carried out for a relaxed structure of Np3UAs4.

Energy of formation   -5.53 eV/f.u.
Space group   Pm-3m

Geometry as extended XYZ:
```
8
Lattice="-4.042 0.982 4.054 -4.116 -1.856 -3.654 0.678 -5.416 1.988" Properties=species:S:1:pos:R:3 pbc="T T T"
As -2.058 -0.928 -1.827
As -2.021 0.491 2.027
As 0.339 -2.708 0.994
As -3.740 -3.145 1.194
Np -4.079 -0.437 0.200
Np -1.719 -3.636 -0.833
Np -1.682 -2.217 3.021
U 0.000 0.000 0.000
```

***

Record 2
A plane-wave DFT calculation with PBE-GGA was carried out for a relaxed structure of Y2HoTm3Te6.

Formation energy (no corrections)   -1.229 eV/atom
Space group   C2/m

Geometry as extended XYZ:
```
12
Lattice="-3.183 0.931 2.749 -3.172 -8.053 -0.945 7.626 -1.223 5.869" Properties=species:S:1:pos:R:3 pbc="T T T"
Te 3.629 -2.315 8.360
Te 1.103 -7.912 3.956
Te 0.169 -0.433 3.717
Te 2.735 -3.831 4.464
Te -1.464 -4.514 3.208
Te -2.358 -6.030 -0.688
Ho -1.591 0.465 1.375
Tm 1.893 -1.375 6.032
Tm -0.622 -6.970 1.641
Tm -3.177 -3.561 0.902
Y 0.312 -5.391 5.562
Y 0.959 -2.955 2.111
```

***

Results for total DFT energy (no corrections): -74.2, -64.5 (in eV for the cell shown, following the order of the records).